# InI, optimized geometry, DFT GGA-PBEsol
# E_form (uncorrected) ... -0.4240 eV/atom
# Mass density ... 5.86 Mg/m³
data_InI
_chemical_formula_sum 'In4 I4'
_space_group_name_H-M_alt 'C m c m'
_space_group_IT_number 63
_space_group_name_Hall '-C 2c 2'
_cell_length_a 4.7298
_cell_length_b 12.4199
_cell_length_c 4.6667
_cell_angle_alpha 90.00
_cell_angle_beta 90.00
_cell_angle_gamma 90.00
loop_
_atom_site_label
_atom_site_fract_x
_atom_site_fract_y
_atom_site_fract_z
_atom_site_occupancy
In1 0.0000 0.0971 0.2500 1
I1 0.0000 0.3549 0.2500 1

=====

# In3IrI, optimized geometry, DFT GGA-PBEsol
# E_form (uncorrected) ... -0.2467 eV/atom
# Mass density ... 7.90 Mg/m³
data_In3IrI
_chemical_formula_sum 'In3 Ir1 I1'
_space_group_name_H-M_alt 'P m -3 m'
_space_group_IT_number 221
_space_group_name_Hall '-P 4 2 3'
_cell_length_a 5.1867
_cell_length_b 5.1867
_cell_length_c 5.1867
_cell_angle_alpha 90.00
_cell_angle_beta 90.00
_cell_angle_gamma 90.00
loop_
_atom_site_label
_atom_site_fract_x
_atom_site_fract_y
_atom_site_fract_z
_atom_site_occupancy
In1 0.0000 0.0000 0.5000 1
Ir1 0.0000 0.0000 0.0000 1
I1 0.5000 0.5000 0.5000 1

=====

# InIrIN2, optimized geometry, DFT GGA-PBEsol
# E_form (uncorrected) ... 0.9905 eV/atom
# Mass density ... 7.11 Mg/m³
data_InIrIN2
_chemical_formula_sum 'In1 Ir1 I1 N2'
_space_group_name_H-M_alt 'P 4/m m m'
_space_group_IT_number 123
_space_group_name_Hall '-P 4 2'
_cell_length_a 3.9085
_cell_length_b 3.9085
_cell_length_c 7.0595
_cell_angle_alpha 90.00
_cell_angle_beta 90.00
_cell_angle_gamma 90.00
loop_
_atom_site_label
_atom_site_fract_x
_atom_site_fract_y
_atom_site_fract_z
_atom_site_occupancy
In1 0.0000 0.0000 0.0000 1
Ir1 0.5000 0.5000 0.5000 1
I1 0.5000 0.5000 0.0000 1
N1 0.0000 0.5000 0.5000 1

=====

# InTeIrI2, optimized geometry, DFT GGA-PBEsol
# E_form (uncorrected) ... 1.1923 eV/atom
# Mass density ... 7.11 Mg/m³
data_InTeIrI2
_chemical_formula_sum 'In1 Te1 Ir1 I2'
_space_group_name_H-M_alt 'P 4/m m m'
_space_group_IT_number 123
_space_group_name_Hall '-P 4 2'
_cell_length_a 5.6033
_cell_length_b 5.6033
_cell_length_c 5.1244
_cell_angle_alpha 90.00
_cell_angle_beta 90.00
_cell_angle_gamma 90.00
loop_
_atom_site_label
_atom_site_fract_x
_atom_site_fract_y
_atom_site_fract_z
_atom_site_occupancy
In1 0.0000 0.0000 0.0000 1
Te1 0.5000 0.5000 0.5000 1
Ir1 0.0000 0.0000 0.5000 1
I1 0.0000 0.5000 0.0000 1

=====

# KInI2, optimized geometry, DFT GGA-PBEsol
# E_form (uncorrected) ... -0.8860 eV/atom
# Mass density ... 4.75 Mg/m³
# Offset from the most stable computed form ... 0.0 meV per atom
data_KInI2
_chemical_formula_sum 'K4 In4 I8'
_space_group_name_H-M_alt 'F m -3 m'
_space_group_IT_number 225
_space_group_name_Hall '-F 4 2 3'
_cell_length_a 8.2930
_cell_length_b 8.2930
_cell_length_c 8.2930
_cell_angle_alpha 90.00
_cell_angle_beta 90.00
_cell_angle_gamma 90.00
loop_
_atom_site_label
_atom_site_fract_x
_atom_site_fract_y
_atom_site_fract_z
_atom_site_occupancy
K1 0.0000 0.0000 0.0000 1
In1 0.0000 0.0000 0.5000 1
I1 0.2500 0.2500 0.2500 1

=====

# KInI2, optimized geometry, DFT GGA-PBEsol
# E_form (uncorrected) ... -0.7808 eV/atom
# Mass density ... 2.93 Mg/m³
# Offset from the most stable computed form ... 105.2 meV per atom
data_KInI2
_chemical_formula_sum 'K4 In4 I8'
_space_group_name_H-M_alt 'I -4 2 d'
_space_group_IT_number 122
_space_group_name_Hall 'I -4 2bw'
_cell_length_a 7.4409
_cell_length_b 7.4409
_cell_length_c 16.6857
_cell_angle_alpha 90.00
_cell_angle_beta 90.00
_cell_angle_gamma 90.00
loop_
_atom_site_label
_atom_site_fract_x
_atom_site_fract_y
_atom_site_fract_z
_atom_site_occupancy
K1 0.0000 0.0000 0.0000 1
In1 0.0000 0.0000 0.5000 1
I1 0.2388 0.2500 0.6250 1